The following is a DFT calculation (PBE) of a relaxed structure of Tl2IrCl.

The total magnetic moment comes out at 0.0 Bohr magnetons per cell. For the energy relative to the elements, uncorrected, the calculation gives 0.15 eV per atom.

The structure belongs to space group R-3m (No. 166, hexagonal axes); the cell edges are 4.0707, 4.0707 and 21.5880 Å and the angles 90.00°, 90.00° and 120.00°. The asymmetric unit holds Tl at (0.0000, 0.0000, 0.2336), Ir at (0.0000, 0.0000, 0.5000) and Cl at (0.0000, 0.0000, 0.0000).

---

The following is a DFT calculation (PBE) of a relaxed structure of CsLaNiBr6.

The total magnetic moment comes out at 4.2 Bohr magnetons per cell. For the energy relative to the elements, uncorrected, the calculation gives -1.37 eV per atom.

The structure belongs to space group C2 (No. 5); the cell edges are 7.2482, 12.5490 and 8.1336 Å and the angles 90.00°, 90.08° and 90.00°. The asymmetric unit holds Cs at (0.0000, 0.0000, 0.0000), La at (0.0000, 0.6668, 0.5000), Ni at (0.0000, 0.3333, 0.5000), Br at (0.1308, 0.4812, 0.6910), Br at (0.1571, 0.1942, 0.6912) and Br at (0.2135, 0.8245, 0.6913).

---

The following is a DFT calculation (PBE) of a relaxed structure of LaNd2Sm6Dy3.

The total magnetic moment comes out at 0.0 Bohr magnetons per cell. The formation enthalpy at 0 K is 0.02 eV/atom.

The structure belongs to space group C2/m (No. 12); the cell edges are 6.2876, 10.8924 and 12.0299 Å and the angles 90.00°, 100.05° and 90.00°. The asymmetric unit holds La at (0.0000, 0.0000, 0.0000), Nd at (0.0000, 0.3335, 0.0000), Sm at (0.2480, 0.3331, 0.7453), Sm at (0.2486, 0.0000, 0.7450), Dy at (0.0000, 0.1669, 0.5000) and Dy at (0.0000, 0.5000, 0.5000).

---

The following is a DFT calculation (PBE) of a relaxed structure of K3Sm2US6.

The total magnetic moment comes out at 6.0 Bohr magnetons per cell. For the energy relative to the elements, uncorrected, the calculation gives -1.68 eV per atom.

The structure belongs to space group C2/m (No. 12); the cell edges are 7.1399, 12.3683 and 7.7640 Å and the angles 90.00°, 107.85° and 90.00°. The asymmetric unit holds K at (0.0000, 0.0000, 0.0000), K at (0.0000, 0.3319, 0.0000), Sm at (0.0000, 0.1665, 0.5000), U at (0.0000, 0.5000, 0.5000), S at (0.2325, 0.3358, 0.7051) and S at (0.2402, 0.0000, 0.7052).

---

The following is a DFT calculation (PBE) of a relaxed structure of Pa3Be5S12.

The total magnetic moment comes out at 9.3 Bohr magnetons per cell. For the energy relative to the elements, uncorrected, the calculation gives -1.18 eV per atom.

The structure belongs to space group Ia-3d (No. 230); the cell edges are 14.2504, 14.2504 and 14.2504 Å and the angles 90.00°, 90.00° and 90.00°. The asymmetric unit holds Pa at (0.0000, 0.2500, 0.1250), Be at (0.0000, 0.0000, 0.0000), Be at (0.0000, 0.2500, 0.3750) and S at (0.0323, 0.0563, 0.6497).

---

The following is a DFT calculation (PBE) of a relaxed structure of LaMgGa.

The total magnetic moment comes out at 0.0 Bohr magnetons per cell. The formation enthalpy at 0 K is -0.19 eV/atom.

The structure belongs to space group Cmcm (No. 63); the cell edges are 5.2258, 8.8387 and 6.5186 Å and the angles 90.00°, 90.00° and 90.00°. The asymmetric unit holds La at (0.0000, 0.1633, 0.2500), Mg at (0.0000, 0.1752, 0.7500) and Ga at (0.0000, 0.5000, 0.0000).

---

The following is a DFT calculation (PBE) of a relaxed structure of PmEuTlIn.

The total magnetic moment comes out at 29.8 Bohr magnetons per cell. The formation enthalpy at 0 K is -0.42 eV/atom.

The structure belongs to space group F-43m (No. 216); the cell edges are 7.8250, 7.8250 and 7.8250 Å and the angles 90.00°, 90.00° and 90.00°. The asymmetric unit holds Pm at (0.0000, 0.0000, 0.0000), Eu at (0.0000, 0.0000, 0.5000), Tl at (0.2500, 0.2500, 0.7500) and In at (0.2500, 0.2500, 0.2500).

---

The following is a DFT calculation (PBE) of a relaxed structure of Hf3C2.

The total magnetic moment comes out at 0.0 Bohr magnetons per cell. The formation enthalpy at 0 K is -0.67 eV/atom.

The structure belongs to space group R-3c (No. 167, hexagonal axes); the cell edges are 5.6642, 5.6642 and 16.0187 Å and the angles 90.00°, 90.00° and 120.00°. The asymmetric unit holds Hf at (0.0000, 0.3247, 0.2500) and C at (0.0000, 0.0000, 0.1617).

---

The following is a DFT calculation (PBE) of a relaxed structure of TlIn2Hg.

The total magnetic moment comes out at 0.0 Bohr magnetons per cell. The formation enthalpy at 0 K is 0.03 eV/atom.

The structure belongs to space group P3m1 (No. 156); the cell edges are 3.4147, 3.4147 and 11.0510 Å and the angles 90.00°, 90.00° and 120.00°. The asymmetric unit holds Tl at (0.0000, 0.0000, 0.0000), In at (0.0000, 0.0000, 0.7158), In at (0.6667, 0.3333, 0.2516) and Hg at (0.3333, 0.6667, 0.4827).

---

The following is a DFT calculation (PBE) of a relaxed structure of CaGa8Fe4.

The total magnetic moment comes out at 13.2 Bohr magnetons per cell. The formation enthalpy at 0 K is -0.23 eV/atom.

The structure belongs to space group I4/mmm (No. 139); the cell edges are 8.7335, 8.7335 and 5.0942 Å and the angles 90.00°, 90.00° and 90.00°. The asymmetric unit holds Ca at (0.0000, 0.0000, 0.0000), Ga at (0.0000, 0.2268, 0.5000), Ga at (0.0000, 0.3349, 0.0000) and Fe at (0.2500, 0.2500, 0.2500).

---

The following is a DFT calculation (PBE) of a relaxed structure of Sc2TlPb.

The total magnetic moment comes out at 4.2 Bohr magnetons per cell. The formation enthalpy at 0 K is -0.28 eV/atom.

The structure belongs to space group Cmcm (No. 63); the cell edges are 8.6222, 9.4656 and 4.7080 Å and the angles 90.00°, 90.00° and 90.00°. The asymmetric unit holds Sc at (0.2488, 0.1239, 0.2500), Tl at (0.0000, 0.3789, 0.2500) and Pb at (0.0000, 0.1306, 0.7500).

---

The following is a DFT calculation (PBE) of a relaxed structure of Hf2VZn2.

The total magnetic moment comes out at 0.6 Bohr magnetons per cell. The formation enthalpy at 0 K is 0.27 eV/atom.

The structure belongs to space group I4/mmm (No. 139); the cell edges are 3.3412, 3.3412 and 17.0037 Å and the angles 90.00°, 90.00° and 90.00°. The asymmetric unit holds Hf at (0.0000, 0.0000, 0.0926), V at (0.0000, 0.0000, 0.5000) and Zn at (0.0000, 0.5000, 0.2500).

---

The following is a DFT calculation (PBE) of a relaxed structure of Zn3AsPt.

The total magnetic moment comes out at 0.0 Bohr magnetons per cell. The formation enthalpy at 0 K is 0.24 eV/atom.

The structure belongs to space group Pm-3m (No. 221); the cell edges are 4.7897, 4.7897 and 4.7897 Å and the angles 90.00°, 90.00° and 90.00°. The asymmetric unit holds Zn at (0.0000, 0.0000, 0.5000), As at (0.5000, 0.5000, 0.5000) and Pt at (0.0000, 0.0000, 0.0000).

---

The following is a DFT calculation (PBE) of a relaxed structure of ErScPtPb.

The total magnetic moment comes out at 0.0 Bohr magnetons per cell. The formation enthalpy at 0 K is -0.71 eV/atom.

The structure belongs to space group F-43m (No. 216); the cell edges are 7.1196, 7.1196 and 7.1196 Å and the angles 90.00°, 90.00° and 90.00°. The asymmetric unit holds Er at (0.0000, 0.0000, 0.0000), Sc at (0.0000, 0.0000, 0.5000), Pt at (0.2500, 0.2500, 0.7500) and Pb at (0.2500, 0.2500, 0.2500).

---

The following is a DFT calculation (PBE) of a relaxed structure of Rb3Ag2I2Br3.

The total magnetic moment comes out at 0.0 Bohr magnetons per cell. For the energy relative to the elements, uncorrected, the calculation gives -1.06 eV per atom.

The structure belongs to space group I4/mmm (No. 139); the cell edges are 5.5334, 5.5334 and 28.0737 Å and the angles 90.00°, 90.00° and 90.00°. The asymmetric unit holds Rb at (0.0000, 0.0000, 0.0000), Rb at (0.0000, 0.0000, 0.3717), Ag at (0.0000, 0.0000, 0.2125), I at (0.0000, 0.5000, 0.2500), Br at (0.0000, 0.0000, 0.1169) and Br at (0.0000, 0.0000, 0.5000).

---

The following is a DFT calculation (PBE) of a relaxed structure of Ga3FeC.

The total magnetic moment comes out at 2.4 Bohr magnetons per cell. The formation enthalpy at 0 K is 1.26 eV/atom.

The structure belongs to space group Pm-3m (No. 221); the cell edges are 4.5574, 4.5574 and 4.5574 Å and the angles 90.00°, 90.00° and 90.00°. The asymmetric unit holds Ga at (0.0000, 0.0000, 0.5000), Fe at (0.0000, 0.0000, 0.0000) and C at (0.5000, 0.5000, 0.5000).

---

The following is a DFT calculation (PBE) of a relaxed structure of CaPr4In5.

The total magnetic moment comes out at 0.0 Bohr magnetons per cell. The formation enthalpy at 0 K is -0.48 eV/atom.

The structure belongs to space group P4/mmm (No. 123); the cell edges are 3.7990, 3.7990 and 20.4313 Å and the angles 90.00°, 90.00° and 90.00°. The asymmetric unit holds Ca at (0.0000, 0.0000, 0.0000), Pr at (0.0000, 0.0000, 0.1949), Pr at (0.0000, 0.0000, 0.3984), In at (0.5000, 0.5000, 0.0942), In at (0.5000, 0.5000, 0.2967) and In at (0.5000, 0.5000, 0.5000).

---

The following is a DFT calculation (PBE) of a relaxed structure of In2PI.

The total magnetic moment comes out at 0.0 Bohr magnetons per cell. For the energy relative to the elements, uncorrected, the calculation gives 0.26 eV per atom.

The structure belongs to space group Fm-3m (No. 225); the cell edges are 7.5570, 7.5570 and 7.5570 Å and the angles 90.00°, 90.00° and 90.00°. The asymmetric unit holds In at (0.2500, 0.2500, 0.2500), P at (0.0000, 0.0000, 0.0000) and I at (0.0000, 0.0000, 0.5000).

---

The following is a DFT calculation (PBE) of a relaxed structure of LiTi2SbN.

The total magnetic moment comes out at 0.0 Bohr magnetons per cell. For the energy relative to the elements, uncorrected, the calculation gives -0.86 eV per atom.

The structure belongs to space group P4/mmm (No. 123); the cell edges are 4.1432, 4.1432 and 4.2086 Å and the angles 90.00°, 90.00° and 90.00°. The asymmetric unit holds Li at (0.0000, 0.0000, 0.0000), Ti at (0.0000, 0.5000, 0.5000), Sb at (0.5000, 0.5000, 0.0000) and N at (0.0000, 0.0000, 0.5000).

---

The following is a DFT calculation (PBE) of a relaxed structure of CdBi2O4.

The total magnetic moment comes out at 0.0 Bohr magnetons per cell. For the energy relative to the elements, uncorrected, the calculation gives -1.07 eV per atom.

The structure belongs to space group C2/m (No. 12); the cell edges are 12.2606, 3.4455 and 6.5248 Å and the angles 90.00°, 121.10° and 90.00°. The asymmetric unit holds Cd at (0.0000, 0.0000, 0.0000), Bi at (0.2029, 0.5000, 0.6898), O at (0.1407, 0.0000, 0.3921) and O at (0.1641, 0.5000, 0.0613).

---

The following is a DFT calculation (PBE) of a relaxed structure of PrTmAgRh.

The total magnetic moment comes out at 0.0 Bohr magnetons per cell. The formation enthalpy at 0 K is -0.49 eV/atom.

The structure belongs to space group F-43m (No. 216); the cell edges are 7.1569, 7.1569 and 7.1569 Å and the angles 90.00°, 90.00° and 90.00°. The asymmetric unit holds Pr at (0.0000, 0.0000, 0.0000), Tm at (0.0000, 0.0000, 0.5000), Ag at (0.2500, 0.2500, 0.7500) and Rh at (0.2500, 0.2500, 0.2500).